The following is a GGA-PBEsol calculation of a relaxed TaBeTl2 crystal, from the Alexandria database.

Results
Its formation energy is 1045 meV/atom.

Cell lengths 6.7761, 6.7761, 6.7761 Å; angles 90.00, 90.00, 90.00 degrees
Space group Fm-3m (No. 225)
Unique sites:
Ta 0.0000 0.0000 0.0000
Be 0.0000 0.0000 0.5000
Tl 0.2500 0.2500 0.2500


The following is a GGA-PBEsol calculation of a relaxed TaBeTl2 crystal, from the Alexandria database.

Results
Its formation energy is 719 meV/atom.

Cell lengths 4.2900, 4.2900, 4.0217 Å; angles 90.00, 90.00, 90.00 degrees
Space group P4/mmm (No. 123)
Unique sites:
Ta 0.0000 0.0000 0.0000
Be 0.5000 0.5000 0.0000
Tl 0.0000 0.5000 0.5000


The following is a GGA-PBEsol calculation of a relaxed TaBeTl crystal, from the Alexandria database.

Results
Its formation energy is 480 meV/atom.

Cell lengths 3.0133, 3.0133, 10.8857 Å; angles 90.00, 90.00, 90.00 degrees
Space group I4mm (No. 107)
Unique sites:
Ta 0.0000 0.0000 0.0000
Be 0.0000 0.0000 0.3672
Tl 0.0000 0.0000 0.7039


The following is a GGA-PBEsol calculation of a relaxed TaBeTl crystal, from the Alexandria database.

Results
Its formation energy is 1335 meV/atom.

Cell lengths 6.1820, 6.1820, 6.1820 Å; angles 90.00, 90.00, 90.00 degrees
Space group F-43m (No. 216)
Unique sites:
Ta 0.0000 0.0000 0.0000
Be 0.0000 0.0000 0.5000
Tl 0.2500 0.2500 0.7500


The following is a GGA-PBEsol calculation of a relaxed TaBe3W crystal, from the Alexandria database.

Results
Its formation energy is 1966 meV/atom.

Cell lengths 4.1297, 4.1297, 4.1297 Å; angles 90.00, 90.00, 90.00 degrees
Space group Pm-3m (No. 221)
Unique sites:
Ta 0.0000 0.0000 0.0000
Be 0.0000 0.0000 0.5000
W 0.5000 0.5000 0.5000


The following is a GGA-PBEsol calculation of a relaxed TaBe2ZnW crystal, from the Alexandria database.

Results
Its formation energy is 1021 meV/atom.

Cell lengths 3.9602, 3.9602, 4.6575 Å; angles 90.00, 90.00, 90.00 degrees
Space group P4/mmm (No. 123)
Unique sites:
Ta 0.0000 0.0000 0.0000
Be 0.0000 0.5000 0.5000
Zn 0.5000 0.5000 0.5000
W 0.5000 0.5000 0.0000


The following is a GGA-PBEsol calculation of a relaxed YTa2Be crystal, from the Alexandria database.

Results
Its formation energy is 439 meV/atom.

Cell lengths 4.0460, 4.0460, 4.4001 Å; angles 90.00, 90.00, 90.00 degrees
Space group P4/mmm (No. 123)
Unique sites:
Y 0.0000 0.0000 0.0000
Ta 0.0000 0.5000 0.5000
Be 0.5000 0.5000 0.0000


The following is a GGA-PBEsol calculation of a relaxed YTaBe crystal, from the Alexandria database.

Results
Its formation energy is 523 meV/atom.

Cell lengths 3.1469, 3.1469, 6.5005 Å; angles 90.00, 90.00, 120.00 degrees
Space group P3m1 (No. 156)
Unique sites:
Y 0.0000 0.0000 0.0000
Ta 0.6667 0.3333 0.3968
Be 0.3333 0.6667 0.6668


The following is a GGA-PBEsol calculation of a relaxed YTa2Be crystal, from the Alexandria database.

Results
Its formation energy is 419 meV/atom.

Cell lengths 6.5879, 6.5879, 6.5879 Å; angles 90.00, 90.00, 90.00 degrees
Space group F-43m (No. 216)
Unique sites:
Y 0.0000 0.0000 0.0000
Ta 0.0000 0.0000 0.5000
Ta 0.2500 0.2500 0.7500
Be 0.2500 0.2500 0.2500


The following is a GGA-PBEsol calculation of a relaxed Y2TaBe crystal, from the Alexandria database.

Results
Its formation energy is 225 meV/atom.

Cell lengths 3.2791, 3.2791, 7.9543 Å; angles 90.00, 90.00, 90.00 degrees
Space group P4mm (No. 99)
Unique sites:
Y 0.0000 0.0000 0.0000
Y 0.5000 0.5000 0.3727
Ta 0.5000 0.5000 0.7410
Be 0.0000 0.0000 0.6025


The following is a GGA-PBEsol calculation of a relaxed Y2TaBe crystal, from the Alexandria database.

Results
Its formation energy is 516 meV/atom.

Cell lengths 3.3426, 4.5770, 10.6009 Å; angles 90.00, 90.00, 90.00 degrees
Space group Immm (No. 71)
Unique sites:
Y 0.0000 0.0000 0.2029
Ta 0.0000 0.5000 0.0000
Be 0.0000 0.5000 0.5000


The following is a GGA-PBEsol calculation of a relaxed Y2TaBe crystal, from the Alexandria database.

Results
Its formation energy is 471 meV/atom.

Cell lengths 4.3992, 4.3992, 8.5482 Å; angles 90.00, 90.00, 90.00 degrees
Space group I4/mmm (No. 139)
Unique sites:
Y 0.0000 0.5000 0.2500
Ta 0.0000 0.0000 0.0000
Be 0.0000 0.0000 0.5000